# 1
Dy4ThP5 PBE optimized geometry; M_tot = 0.00 μB/f.u.
1.0
-2.0212 2.8580 10.0829
2.0212 -2.8580 10.0829
2.0212 2.8580 -10.0829
Dy Th P
4 1 5
direct
0.1025 0.1025 0.0000
0.2974 0.2974 0.0000
0.7026 0.7026 0.0000
0.8975 0.8975 0.0000
0.5000 0.5000 0.0000
0.0000 0.5000 0.5000
0.1999 0.6999 0.5000
0.3977 0.8977 0.5000
0.6023 0.1023 0.5000
0.8001 0.3001 0.5000



# 2
Dy2ThP PBE optimized geometry; M_tot = 0.00 μB/f.u.
1.0
1.8845 1.0880 9.1578
-1.8845 1.0880 9.1578
0.0000 -2.1761 9.1578
Dy Th P
2 1 1
direct
0.2274 0.2274 0.2274
0.7726 0.7726 0.7726
0.0000 0.0000 0.0000
0.5000 0.5000 0.5000



# 3
DyThP2 PBE optimized geometry; M_tot = 0.00 μB/f.u.
1.0
2.0169 1.1645 6.9460
-2.0169 1.1645 6.9460
0.0000 -2.3289 6.9460
Dy Th P
1 1 2
direct
0.0000 0.0000 0.0000
0.8258 0.8258 0.8258
0.2464 0.2464 0.2464
0.4108 0.4108 0.4108



# 4
Dy2ThP3 PBE optimized geometry; M_tot = 0.00 μB/f.u.
1.0
7.8251 -2.0125 0.0000
7.8251 2.0125 0.0000
-3.1996 0.0000 9.3294
Dy Th P
4 2 6
direct
0.1693 0.1693 0.3351
0.3297 0.3297 0.1641
0.6703 0.6703 0.8359
0.8307 0.8307 0.6649
0.0000 0.0000 0.5000
0.5000 0.5000 0.0000
0.0296 0.0296 0.8053
0.3044 0.3044 0.8598
0.3592 0.3592 0.4731
0.6408 0.6408 0.5269
0.6956 0.6956 0.1402
0.9704 0.9704 0.1947



# 5
DyThP2 PBE optimized geometry; M_tot = 0.00 μB/f.u.
1.0
2.0437 1.1799 6.6179
-2.0437 1.1799 6.6179
0.0000 -2.3599 6.6179
Dy Th P
1 1 2
direct
0.0000 0.0000 0.0000
0.5000 0.5000 0.5000
0.2524 0.2524 0.2524
0.7476 0.7476 0.7476



# 6
DyThP PBE optimized geometry; M_tot = 0.01 μB/f.u.
1.0
3.8369 0.0000 0.0000
-1.9185 3.3229 0.0000
0.0000 0.0000 13.0342
Dy Th P
2 2 2
direct
0.0000 0.0000 0.2222
0.0000 0.0000 0.7778
0.0000 0.0000 0.5000
0.6667 0.3333 0.0000
0.6667 0.3333 0.3526
0.6667 0.3333 0.6474



# 7
DyTmTh2P4 PBE optimized geometry; M_tot = 0.00 μB/f.u.
1.0
6.9958 0.0000 0.0000
0.0000 4.0753 0.0000
-2.3820 0.0000 6.6472
Dy Tm Th P
1 1 2 4
direct
0.0000 0.0000 0.0000
0.0000 0.5000 0.5000
0.5000 0.0000 0.5000
0.5000 0.5000 0.0000
0.2400 0.0000 0.7450
0.2412 0.5000 0.2486
0.7588 0.5000 0.7514
0.7600 0.0000 0.2550



# 8
DyY3Th2P6 PBE optimized geometry; M_tot = 0.00 μB/f.u.
1.0
3.5182 -6.1006 0.0000
3.5182 6.1006 0.0000
-2.3446 0.0000 6.6082
Dy Y Th P
1 3 2 6
direct
0.0000 0.0000 0.0000
0.1669 0.8331 0.5000
0.5000 0.5000 0.5000
0.8331 0.1669 0.5000
0.3335 0.6665 0.0000
0.6665 0.3335 0.0000
0.0843 0.4146 0.2533
0.2454 0.2454 0.7457
0.4146 0.0843 0.2533
0.5854 0.9157 0.7467
0.7546 0.7546 0.2543
0.9157 0.5854 0.7467



# 9
DyYTh2P4 PBE optimized geometry; M_tot = 0.00 μB/f.u.
1.0
7.0284 0.0000 0.0000
0.0000 4.0905 0.0000
-2.3887 0.0000 6.6719
Dy Y Th P
1 1 2 4
direct
0.0000 0.0000 0.0000
0.0000 0.5000 0.5000
0.5000 0.0000 0.5000
0.5000 0.5000 0.0000
0.2434 0.0000 0.7480
0.2432 0.5000 0.2473
0.7566 0.0000 0.2520
0.7568 0.5000 0.7527



# 10
DyTiP2 PBE optimized geometry; M_tot = 0.00 μB/f.u.
1.0
1.8450 1.0652 6.4284
-1.8450 1.0652 6.4284
0.0000 -2.1304 6.4284
Dy Ti P
1 1 2
direct
0.0000 0.0000 0.0000
0.1748 0.1748 0.1748
0.5754 0.5754 0.5754
0.7651 0.7651 0.7651



# 11
DyTiP PBE optimized geometry; M_tot = 0.00 μB/f.u.
1.0
3.8914 0.0000 0.0000
0.0000 3.8914 0.0000
0.0000 0.0000 7.4521
Dy Ti P
2 2 2
direct
0.2500 0.2500 0.1474
0.7500 0.7500 0.8526
0.2500 0.7500 0.5000
0.7500 0.2500 0.5000
0.2500 0.2500 0.7374
0.7500 0.7500 0.2626



# 12
DyTiP2 PBE optimized geometry; M_tot = 0.00 μB/f.u.
1.0
1.8719 1.0808 6.1646
-1.8719 1.0808 6.1646
0.0000 -2.1615 6.1646
Dy Ti P
1 1 2
direct
0.0000 0.0000 0.0000
0.5000 0.5000 0.5000
0.2398 0.2398 0.2398
0.7602 0.7602 0.7602



# 13
Dy2Tl2P PBE optimized geometry; M_tot = 0.00 μB/f.u.
1.0
3.3800 -1.9584 0.0000
3.3800 1.9584 0.0000
-2.2403 0.0000 10.1946
Dy Tl P
2 2 1
direct
0.1161 0.1161 0.3487
0.8839 0.8839 0.6513
0.2977 0.2977 0.8918
0.7023 0.7023 0.1082
0.5000 0.5000 0.5000



# 14
Dy5Tm3P8 PBE optimized geometry; M_tot = 0.00 μB/f.u.
1.0
3.9843 2.3004 6.5068
-3.9843 2.3004 6.5068
0.0000 -4.6007 6.5068
Dy Tm P
5 3 8
direct
0.0000 0.0000 0.0000
0.0000 0.5000 0.5000
0.5000 0.0000 0.5000
0.5000 0.5000 0.0000
0.5000 0.5000 0.5000
0.0000 0.0000 0.5000
0.0000 0.5000 0.0000
0.5000 0.0000 0.0000
0.2476 0.7500 0.7500
0.2488 0.2488 0.2488
0.2500 0.2500 0.7524
0.2500 0.7524 0.2500
0.7500 0.2476 0.7500
0.7500 0.7500 0.2476
0.7512 0.7512 0.7512
0.7524 0.2500 0.2500



# 15
DyTmP PBE optimized geometry; M_tot = 0.04 μB/f.u.
1.0
3.8698 0.0000 0.0000
-1.9349 3.3514 0.0000
0.0000 0.0000 6.2848
Dy Tm P
1 1 1
direct
0.0000 0.0000 0.0000
0.3333 0.6667 0.5016
0.6667 0.3333 0.2547



# 16
Dy4TmP5 PBE optimized geometry; M_tot = 0.00 μB/f.u.
1.0
-4.4675 4.4675 2.8262
4.4675 -4.4675 2.8262
4.4675 4.4675 -2.8262
Dy Tm P
4 1 5
direct
0.0995 0.2999 0.3994
0.2999 0.9005 0.2004
0.7001 0.0995 0.7996
0.9005 0.7001 0.6006
0.5000 0.5000 0.0000
0.0000 0.0000 0.0000
0.2019 0.5994 0.8013
0.4006 0.2019 0.6024
0.5994 0.7981 0.3976
0.7981 0.4006 0.1987



# 17
DyTmP2 PBE optimized geometry; M_tot = 0.00 μB/f.u.
1.0
-2.8112 2.8112 5.6274
2.8112 -2.8112 5.6274
2.8112 2.8112 -5.6274
Dy Tm P
2 2 4
direct
0.3750 0.6250 0.7500
0.6250 0.3750 0.2500
0.1250 0.8750 0.2500
0.8750 0.1250 0.7500
0.1235 0.3735 0.7500
0.3735 0.1235 0.2500
0.6265 0.8765 0.7500
0.8765 0.6265 0.2500



# 18
DyTmP PBE optimized geometry; M_tot = 0.00 μB/f.u.
1.0
4.1653 0.0000 0.0000
0.0000 4.1653 0.0000
0.0000 0.0000 7.8527
Dy Tm P
2 2 2
direct
0.2500 0.7500 0.0000
0.7500 0.2500 0.0000
0.2500 0.2500 0.3603
0.7500 0.7500 0.6397
0.2500 0.2500 0.7182
0.7500 0.7500 0.2818



# 19
DyTm2P3 PBE optimized geometry; M_tot = 0.00 μB/f.u.
1.0
7.9241 0.0000 0.0000
0.0000 5.6094 0.0000
0.0000 0.0000 11.9179
Dy Tm P
4 8 12
direct
0.1257 0.2500 0.0828
0.3743 0.7500 0.5828
0.6257 0.2500 0.4172
0.8743 0.7500 0.9172
0.1244 0.2500 0.4165
0.1251 0.2500 0.7507
0.3749 0.7500 0.2507
0.3756 0.7500 0.9165
0.6244 0.2500 0.0835
0.6251 0.2500 0.7493
0.8749 0.7500 0.2493
0.8756 0.7500 0.5835
0.1229 0.7500 0.4155
0.1250 0.7500 0.7504
0.1270 0.7500 0.0841
0.3730 0.2500 0.5841
0.3750 0.2500 0.2504
0.3771 0.2500 0.9155
0.6229 0.7500 0.0845
0.6250 0.7500 0.7496
0.6270 0.7500 0.4159
0.8730 0.2500 0.9159
0.8750 0.2500 0.2496
0.8771 0.2500 0.5845



# 20
Dy2TmP PBE optimized geometry; M_tot = 0.62 μB/f.u.
1.0
1.8621 1.0751 10.0260
-1.8621 1.0751 10.0260
0.0000 -2.1501 10.0260
Dy Tm P
2 1 1
direct
0.1125 0.1125 0.1125
0.8875 0.8875 0.8875
0.0000 0.0000 0.0000
0.5000 0.5000 0.5000



Results for ΔH_f (0 K): -16.098, -2.673, -5.637, -8.316, -6.343, -2.288, -12.623, -19.384, -12.717, -4.823, -3.302, -5.229, -3.580, -25.770, -2.883, -16.135, -6.444, -2.610, -9.651, -1.913 (in eV/f.u., following the order of the records).